Entry 1:
CeMg2Hg6: optimized geometry, PBE-GGA.

Summary:
Magnetic moment (μB per formula unit): 1.3
Space-group type: P-31m, No. 162
Formation energy from the elements (kJ/mol of formula units): -43
E_tot (eV per atom): -1.264

Cell: 6.262 6.262 7.503 Å, 90.00 90.00 120.00°
Sites, in units of the cell vectors:
Ce1 0.000 0.000 0.000
Mg1 0.333 0.667 0.500
Mg2 0.667 0.333 0.500
Hg1 0.000 0.499 0.804
Hg2 0.000 0.501 0.196
Hg3 0.499 0.000 0.804
Hg4 0.499 0.499 0.196
Hg5 0.501 0.000 0.196
Hg6 0.501 0.501 0.804

Entry 2:
Ce3Mg2Hg4: optimized geometry, PBE-GGA.

Summary:
Magnetic moment (μB per formula unit): 3.9
Space-group type: C2/m, No. 12
Formation energy from the elements (kJ/mol of formula units): -266
E_tot (eV per atom): -2.773

Cell: 6.096 6.096 9.443 Å, 119.95 119.95 49.53°
Sites, in units of the cell vectors:
Ce1 0.000 0.000 0.000
Ce2 0.339 0.339 0.330
Ce3 0.661 0.661 0.670
Mg1 0.381 0.381 0.713
Mg2 0.619 0.619 0.287
Hg1 0.063 0.063 0.390
Hg2 0.287 0.287 0.945
Hg3 0.713 0.713 0.055
Hg4 0.937 0.937 0.610

Entry 3:
Ce3Mg2Hg3: optimized geometry, PBE-GGA.

Summary:
Magnetic moment (μB per formula unit): 3.2
Space-group type: C2/m, No. 12
Formation energy from the elements (kJ/mol of formula units): -171
E_tot (eV per atom): -2.959

Cell: 9.630 9.630 4.750 Å, 104.21 104.21 28.14°
Sites, in units of the cell vectors:
Ce1 0.000 0.000 0.000
Ce2 0.117 0.117 0.617
Ce3 0.883 0.883 0.383
Mg1 0.248 0.248 0.248
Mg2 0.752 0.752 0.752
Hg1 0.353 0.353 0.853
Hg2 0.500 0.500 0.500
Hg3 0.647 0.647 0.147

Entry 4:
CeMgHg6: optimized geometry, PBE-GGA.

Summary:
Magnetic moment (μB per formula unit): 1.3
Space-group type: R-3m, No. 166
Formation energy from the elements (kJ/mol of formula units): -42
E_tot (eV per atom): -1.222

Cell: 6.119 6.119 6.119 Å, 89.56 89.56 89.56°
Sites, in units of the cell vectors:
Ce1 0.000 0.000 0.000
Mg1 0.500 0.500 0.500
Hg1 0.170 0.170 0.534
Hg2 0.170 0.534 0.170
Hg3 0.466 0.830 0.830
Hg4 0.534 0.170 0.170
Hg5 0.830 0.466 0.830
Hg6 0.830 0.830 0.466

Entry 5:
Ce6MgHg2: optimized geometry, PBE-GGA.

Summary:
Magnetic moment (μB per formula unit): 3.6
Space-group type: P6/mmm, No. 191
Formation energy from the elements (kJ/mol of formula units): -69
E_tot (eV per atom): -4.280

Cell: 9.142 9.142 3.037 Å, 90.00 90.00 120.00°
Sites, in units of the cell vectors:
Ce1 0.000 0.334 0.000
Ce2 0.000 0.666 0.000
Ce3 0.334 0.000 0.000
Ce4 0.334 0.334 0.000
Ce5 0.666 0.000 0.000
Ce6 0.666 0.666 0.000
Mg1 0.000 0.000 0.500
Hg1 0.333 0.667 0.500
Hg2 0.667 0.333 0.500

Entry 6:
Ce3Mg2Hg7: optimized geometry, PBE-GGA.

Summary:
Magnetic moment (μB per formula unit): 3.6
Space-group type: P2/m, No. 10
Formation energy from the elements (kJ/mol of formula units): -217
E_tot (eV per atom): -2.113

Cell: 4.934 4.301 15.152 Å, 90.00 99.31 90.00°
Sites, in units of the cell vectors:
Ce1 0.000 0.000 0.000
Ce2 0.314 0.500 0.629
Ce3 0.686 0.500 0.371
Mg1 0.137 0.000 0.271
Mg2 0.863 0.000 0.729
Hg1 0.079 0.500 0.154
Hg2 0.225 0.000 0.450
Hg3 0.413 0.000 0.829
Hg4 0.500 0.500 0.000
Hg5 0.587 0.000 0.171
Hg6 0.775 0.000 0.550
Hg7 0.921 0.500 0.846

Entry 7:
CeMg6Hg2: optimized geometry, PBE-GGA.

Summary:
Magnetic moment (μB per formula unit): 1.3
Space-group type: P4/mmm, No. 123
Formation energy from the elements (kJ/mol of formula units): -118
E_tot (eV per atom): -1.925

Cell: 4.472 4.472 10.903 Å, 90.00 90.00 90.00°
Sites, in units of the cell vectors:
Ce1 0.000 0.000 0.000
Mg1 0.000 0.000 0.500
Mg2 0.000 0.500 0.290
Mg3 0.000 0.500 0.710
Mg4 0.500 0.000 0.290
Mg5 0.500 0.000 0.710
Mg6 0.500 0.500 0.500
Hg1 0.500 0.500 0.130
Hg2 0.500 0.500 0.870

Entry 8:
Ce3MgHg4: optimized geometry, PBE-GGA.

Summary:
Magnetic moment (μB per formula unit): 3.2
Energy relative to the lowest polymorph listed for this composition (eV per atom): 0.0000
Space-group type: P4/mmm, No. 123
Formation energy from the elements (kJ/mol of formula units): -231
E_tot (eV per atom): -2.875

Cell: 3.453 3.453 16.972 Å, 90.00 90.00 90.00°
Sites, in units of the cell vectors:
Ce1 0.000 0.000 0.000
Ce2 0.000 0.000 0.265
Ce3 0.000 0.000 0.735
Mg1 0.000 0.000 0.500
Hg1 0.500 0.500 0.133
Hg2 0.500 0.500 0.396
Hg3 0.500 0.500 0.604
Hg4 0.500 0.500 0.867